#i
Density functional theory data (PBE) for KMgPt after structural relaxation.

Cell and atoms, written as POSCAR:
```
KMgPt
1.0
-3.1232 3.8633 0.1183
-4.8054 -0.7208 1.0404
-1.8641 1.5561 4.3356
K Mg Pt
1 1 1
Direct
0.7500 0.7500 0.7500
0.0000 0.0000 0.0000
0.5000 0.5000 0.5000
```

* volume: 28.9 Å³/atom
* space-group type: F-43m (216)
* DOS(E_F): 0.3696 states/eV per atom

#ii
Density functional theory data (PBE) for KMgPt after structural relaxation.

Cell and atoms, written as POSCAR:
```
KMgPt
1.0
6.5625 -0.0012 0.0018
4.5403 4.7384 -0.0018
-5.2660 -3.0375 2.4717
K Mg Pt
1 1 1
Direct
0.0064 0.0064 0.0000
0.2730 0.2730 0.0000
0.7207 0.7207 0.0000
```

* volume: 25.6 Å³/atom
* space-group type: Imm2 (44)
* DOS(E_F): 0.3657 states/eV per atom

#iii
Density functional theory data (PBE) for KMgPt after structural relaxation.

Cell and atoms, written as POSCAR:
```
KMgPt
1.0
-2.5246 3.6455 -1.0782
-3.0337 -2.7119 -2.0659
-3.8714 -0.7201 6.6304
K Pt Mg
2 2 2
Direct
0.0000 0.5000 0.8602
0.5000 0.0000 0.1398
0.0000 0.5000 0.3212
0.5000 0.0000 0.6788
0.5000 0.5000 0.5000
0.0000 0.0000 0.5000
```

* volume: 26.8 Å³/atom
* space-group type: P4/nmm (129)
* DOS(E_F): 0.4628 states/eV per atom

#iv
Density functional theory data (PBE) for KMgPt after structural relaxation.

Cell and atoms, written as POSCAR:
```
KMgPt
1.0
4.8951 0.0000 0.0000
2.4475 4.2393 0.0000
2.4475 1.4131 3.9968
K Mg Pt
1 1 1
Direct
0.0000 0.0000 0.0000
0.5000 0.5000 0.5000
0.7500 0.7500 0.7500
```

* volume: 27.6 Å³/atom
* space-group type: F-43m (216)
* DOS(E_F): 0.8625 states/eV per atom

Relative energies with respect to the most stable structure, expressed in meV per atom: #i 1040; #ii 72; #iii 0; #iv 408.

#i
Density functional theory data (PBE) for KMg2Pt2 after structural relaxation.

Cell and atoms, written as POSCAR:
```
KMg2Pt2
1.0
-3.3287 -2.9581 0.5712
0.5992 -1.4843 -4.1947
2.3090 -5.9960 0.0487
K Mg Pt
1 2 2
Direct
0.0000 0.0000 0.0000
0.7500 0.2500 0.5000
0.2500 0.7500 0.5000
0.3821 0.3821 0.2358
0.6179 0.6179 0.7642
```

* volume: 22.5 Å³/atom
* space-group type: I4/mmm (139)
* DOS(E_F): 0.3189 states/eV per atom

#ii
Density functional theory data (PBE) for KMg2Pt2 after structural relaxation.

Cell and atoms, written as POSCAR:
```
KMg2Pt2
1.0
8.2105 0.0000 0.0000
0.0000 8.2105 0.0000
0.0000 0.0000 2.9032
K Mg Pt
2 4 4
Direct
0.0000 0.0000 0.0000
0.5000 0.5000 0.0000
0.3691 0.8691 0.0000
0.8691 0.6309 0.0000
0.6309 0.1309 0.0000
0.1309 0.3691 0.0000
0.1587 0.6587 0.5000
0.6587 0.8413 0.5000
0.8413 0.3413 0.5000
0.3413 0.1587 0.5000
```

* volume: 19.6 Å³/atom
* space-group type: P4/mbm (127)
* DOS(E_F): 0.3250 states/eV per atom

Relative energies with respect to the most stable structure, expressed in meV per atom: #i 64; #ii 0.